! NaCaMg2, optimized geometry, DFT GGA-PBE; values from VASP
&SYSTEM
  ibrav = 0, nat = 4, ntyp = 3
/
ATOMIC_SPECIES
Na 22.99 Na.upf
Ca 40.08 Ca.upf
Mg 24.30 Mg.upf
CELL_PARAMETERS angstrom
0.0000 3.9297 3.9297
3.9297 0.0000 3.9297
3.9297 3.9297 0.0000
ATOMIC_POSITIONS crystal
Na 0.0000 0.0000 0.0000
Ca 0.5000 0.5000 0.5000
Mg 0.2500 0.2500 0.2500
Mg 0.7500 0.7500 0.7500
! crystal system	cubic
! energy relative to the lowest polymorph listed for this composition	0.030	eV/atom


! NaCa2Mg, optimized geometry, DFT GGA-PBE; values from VASP
&SYSTEM
  ibrav = 0, nat = 4, ntyp = 3
/
ATOMIC_SPECIES
Na 22.99 Na.upf
Ca 40.08 Ca.upf
Mg 24.30 Mg.upf
CELL_PARAMETERS angstrom
1.8972 1.0954 11.7754
-1.8972 1.0954 11.7754
0.0000 -2.1907 11.7754
ATOMIC_POSITIONS crystal
Na 0.0000 0.0000 0.0000
Ca 0.2428 0.2428 0.2428
Ca 0.4242 0.4242 0.4242
Mg 0.8335 0.8335 0.8335
! crystal system	trigonal


! NaCa2Mg, optimized geometry, DFT GGA-PBE; values from VASP
&SYSTEM
  ibrav = 0, nat = 8, ntyp = 3
/
ATOMIC_SPECIES
Na 22.99 Na.upf
Ca 40.08 Ca.upf
Mg 24.30 Mg.upf
CELL_PARAMETERS angstrom
-4.5406 4.5406 3.5954
4.5406 -4.5406 3.5954
4.5406 4.5406 -3.5954
ATOMIC_POSITIONS crystal
Na 0.0000 0.0000 0.0000
Na 0.7500 0.2500 0.5000
Ca 0.1332 0.6250 0.0082
Ca 0.3750 0.3832 0.5082
Ca 0.6168 0.1250 0.9918
Ca 0.8750 0.8668 0.4918
Mg 0.2500 0.7500 0.5000
Mg 0.5000 0.5000 0.0000
! crystal system	tetragonal


! NaCa3Mg, optimized geometry, DFT GGA-PBE; values from VASP
&SYSTEM
  ibrav = 0, nat = 10, ntyp = 3
/
ATOMIC_SPECIES
Na 22.99 Na.upf
Ca 40.08 Ca.upf
Mg 24.30 Mg.upf
CELL_PARAMETERS angstrom
5.7363 0.0000 0.0000
0.0000 2.8650 10.9369
0.0000 -2.8650 10.9369
ATOMIC_POSITIONS crystal
Na 0.0000 0.0000 0.0000
Na 0.5000 0.3097 0.3097
Ca 0.0000 0.2157 0.2157
Ca 0.0000 0.4054 0.4054
Ca 0.0000 0.5957 0.5957
Ca 0.5000 0.0938 0.0938
Ca 0.5000 0.7138 0.7138
Ca 0.5000 0.9041 0.9041
Mg 0.0000 0.8079 0.8079
Mg 0.5000 0.5013 0.5013
! crystal system	orthorhombic
! energy relative to the lowest polymorph listed for this composition	0.000	eV/atom


! NaCaMg2, optimized geometry, DFT GGA-PBE; values from VASP
&SYSTEM
  ibrav = 0, nat = 8, ntyp = 3
/
ATOMIC_SPECIES
Na 22.99 Na.upf
Ca 40.08 Ca.upf
Mg 24.30 Mg.upf
CELL_PARAMETERS angstrom
-2.3366 2.3366 11.7293
2.3366 -2.3366 11.7293
2.3366 2.3366 -11.7293
ATOMIC_POSITIONS crystal
Na 0.0000 0.0000 0.0000
Na 0.7500 0.2500 0.5000
Ca 0.2500 0.7500 0.5000
Ca 0.5000 0.5000 0.0000
Mg 0.1124 0.6250 0.9874
Mg 0.3750 0.3624 0.4874
Mg 0.6376 0.1250 0.0126
Mg 0.8750 0.8876 0.5126
! crystal system	tetragonal
! energy relative to the lowest polymorph listed for this composition	0.208	eV/atom


! NaCa3Mg, optimized geometry, DFT GGA-PBE; values from VASP
&SYSTEM
  ibrav = 0, nat = 5, ntyp = 3
/
ATOMIC_SPECIES
Na 22.99 Na.upf
Ca 40.08 Ca.upf
Mg 24.30 Mg.upf
CELL_PARAMETERS angstrom
6.1381 0.0000 0.0000
0.0000 6.1381 0.0000
0.0000 0.0000 6.1381
ATOMIC_POSITIONS crystal
Na 0.0000 0.0000 0.0000
Ca 0.0000 0.0000 0.5000
Ca 0.0000 0.5000 0.0000
Ca 0.5000 0.0000 0.0000
Mg 0.5000 0.5000 0.5000
! crystal system	cubic
! energy relative to the lowest polymorph listed for this composition	0.494	eV/atom


! NaCa5Mg6, optimized geometry, DFT GGA-PBE; values from VASP
&SYSTEM
  ibrav = 0, nat = 12, ntyp = 3
/
ATOMIC_SPECIES
Na 22.99 Na.upf
Ca 40.08 Ca.upf
Mg 24.30 Mg.upf
CELL_PARAMETERS angstrom
4.8605 -8.3393 0.0000
4.8605 8.3393 0.0000
-3.1521 0.0000 4.5662
ATOMIC_POSITIONS crystal
Na 0.0000 0.0000 0.0000
Ca 0.1734 0.8266 0.5000
Ca 0.3359 0.6641 0.0000
Ca 0.5000 0.5000 0.5000
Ca 0.6641 0.3359 0.0000
Ca 0.8266 0.1734 0.5000
Mg 0.0787 0.4062 0.2425
Mg 0.2350 0.2350 0.7361
Mg 0.4062 0.0787 0.2425
Mg 0.5938 0.9213 0.7575
Mg 0.7650 0.7650 0.2639
Mg 0.9213 0.5938 0.7575
! crystal system	monoclinic


! NaCa4Mg2, optimized geometry, DFT GGA-PBE; values from VASP
&SYSTEM
  ibrav = 0, nat = 7, ntyp = 3
/
ATOMIC_SPECIES
Na 22.99 Na.upf
Ca 40.08 Ca.upf
Mg 24.30 Mg.upf
CELL_PARAMETERS angstrom
2.9408 1.6979 8.1962
-2.9408 1.6979 8.1962
0.0000 -3.3958 8.1962
ATOMIC_POSITIONS crystal
Na 0.0000 0.0000 0.0000
Ca 0.1417 0.1417 0.1417
Ca 0.4175 0.4175 0.4175
Ca 0.5825 0.5825 0.5825
Ca 0.8583 0.8583 0.8583
Mg 0.2770 0.2770 0.2770
Mg 0.7230 0.7230 0.7230
! crystal system	trigonal


| no. | final energy (eV per cell) |
| --- | --- |
| 1 | -6.2 |
| 2 | -6.6 |
| 3 | -12.0 |
| 4 | -17.7 |
| 5 | -11.0 |
| 6 | -6.4 |
| 7 | -21.3 |
| 8 | -12.2 |